# Hf2ZnSn2 GGA-PBE optimized geometry
data_Hf2ZnSn2
_cell_length_a 4.6175
_cell_length_b 4.6175
_cell_length_c 12.3438
_cell_angle_alpha 90.00
_cell_angle_beta 90.00
_cell_angle_gamma 90.00
_symmetry_space_group_name_H-M 'I 4/m m m'
_symmetry_Int_Tables_number 139
_symmetry_space_group_name_Hall '-I 4 2'
loop_
_atom_site_label
_atom_site_fract_x
_atom_site_fract_y
_atom_site_fract_z
Hf1 0.0000 0.5000 0.2500
Zn1 0.0000 0.0000 0.0000
Sn1 0.0000 0.0000 0.3899
# Crystal system = tetragonal
# Calculated volume = 263.2 Å³ per cell
# Density = 8.3 g cm⁻³
# VASP energy = -5.4807 eV per atom